DFT (PBE) results for an optimized crystal structure of LiSmGdPt.

Calculated values
DOS at the Fermi energy = 3.8 states/eV/f.u.
Total magnetization = 7.1 μB per formula unit
Formation energy from the elements = -596 meV per atom
E = -7.28 eV/atom

Cell: 7.158 7.158 7.158 Å, 90.00 90.00 90.00°
Space group F-43m (No. 216)
Symmetry-distinct sites (fractional):
Li (0.000, 0.000, 0.000) x4
Sm (0.250, 0.250, 0.750) x4
Gd (0.250, 0.250, 0.250) x4
Pt (0.000, 0.000, 0.500) x4

DFT (PBE) results for an optimized crystal structure of LiTbGdPt.

Calculated values
DOS at the Fermi energy = 3.5 states/eV/f.u.
Total magnetization = 7.2 μB per formula unit
Formation energy from the elements = -633 meV per atom
E = -7.30 eV/atom

Cell: 7.096 7.096 7.096 Å, 90.00 90.00 90.00°
Space group F-43m (No. 216)
Symmetry-distinct sites (fractional):
Li (0.000, 0.000, 0.000) x4
Tb (0.250, 0.250, 0.750) x4
Gd (0.250, 0.250, 0.250) x4
Pt (0.000, 0.000, 0.500) x4

DFT (PBE) results for an optimized crystal structure of LiGdYPt.

Calculated values
DOS at the Fermi energy = 3.3 states/eV/f.u.
Total magnetization = 7.2 μB per formula unit
Formation energy from the elements = -641 meV per atom
E = -7.77 eV/atom

Cell: 7.091 7.091 7.091 Å, 90.00 90.00 90.00°
Space group F-43m (No. 216)
Symmetry-distinct sites (fractional):
Li (0.000, 0.000, 0.000) x4
Gd (0.250, 0.250, 0.750) x4
Y (0.250, 0.250, 0.250) x4
Pt (0.000, 0.000, 0.500) x4

DFT (PBE) results for an optimized crystal structure of Li4GdPu.

Calculated values
DOS at the Fermi energy = 14.0 states/eV/f.u.
Total magnetization = 14.9 μB per formula unit
Formation energy from the elements = 209 meV per atom
E = -5.80 eV/atom

Cell: 8.257 8.257 8.257 Å, 90.00 90.00 90.00°
Space group F-43m (No. 216)
Symmetry-distinct sites (fractional):
Li (0.125, 0.125, 0.125) x16
Gd (0.000, 0.000, 0.500) x4
Pu (0.250, 0.250, 0.750) x4

DFT (PBE) results for an optimized crystal structure of LiGd2Pu.

Calculated values
DOS at the Fermi energy = 8.7 states/eV/f.u.
Energy above the lowest structure with this stoichiometry = 0.0000 eV per atom
Total magnetization = 21.3 μB per formula unit
Formation energy from the elements = 150 meV per atom
E = -10.95 eV/atom

Cell: 3.564 3.564 8.903 Å, 90.00 90.00 90.00°
Space group P4/mmm (No. 123)
Symmetry-distinct sites (fractional):
Li (0.000, 0.000, 0.000) x1
Gd (0.500, 0.500, 0.233) x2
Pu (0.000, 0.000, 0.500) x1

DFT (PBE) results for an optimized crystal structure of LiGdPu.

Calculated values
DOS at the Fermi energy = 8.8 states/eV/f.u.
Total magnetization = 1.4 μB per formula unit
Formation energy from the elements = 233 meV per atom
E = -9.88 eV/atom

Cell: 3.289 3.289 14.775 Å, 90.00 90.00 90.00°
Space group I4mm (No. 107)
Symmetry-distinct sites (fractional):
Li (0.000, 0.000, 0.000) x2
Gd (0.000, 0.000, 0.334) x2
Pu (0.000, 0.000, 0.659) x2

DFT (PBE) results for an optimized crystal structure of LiGd2Pu.

Calculated values
DOS at the Fermi energy = 10.9 states/eV/f.u.
Energy above the lowest structure with this stoichiometry = 0.0376 eV per atom
Total magnetization = 20.9 μB per formula unit
Formation energy from the elements = 188 meV per atom
E = -10.91 eV/atom

Cell: 3.4870 3.4870 33.3546 Å, 90.00 90.00 120.00°
Space group R-3m (No. 166, hexagonal axes)
Symmetry-distinct sites (fractional):
Li (0.0000, 0.0000, 0.0000) x3
Gd (0.0000, 0.0000, 0.2501) x6
Pu (0.0000, 0.0000, 0.5000) x3

DFT (PBE) results for an optimized crystal structure of LiGd2Pu.

Calculated values
DOS at the Fermi energy = 16.8 states/eV/f.u.
Energy above the lowest structure with this stoichiometry = 0.1433 eV per atom
Total magnetization = 8.0 μB per formula unit
Formation energy from the elements = 293 meV per atom
E = -10.81 eV/atom

Cell: 7.634 7.634 7.634 Å, 90.00 90.00 90.00°
Space group Fm-3m (No. 225)
Symmetry-distinct sites (fractional):
Li (0.000, 0.000, 0.000) x4
Gd (0.250, 0.250, 0.250) x8
Pu (0.000, 0.000, 0.500) x4

DFT (PBE) results for an optimized crystal structure of LiGdPuRh.

Calculated values
DOS at the Fermi energy = 7.8 states/eV/f.u.
Total magnetization = 13.0 μB per formula unit
Formation energy from the elements = -251 meV per atom
E = -9.67 eV/atom

Cell: 7.004 7.004 7.004 Å, 90.00 90.00 90.00°
Space group F-43m (No. 216)
Symmetry-distinct sites (fractional):
Li (0.000, 0.000, 0.000) x4
Gd (0.250, 0.250, 0.250) x4
Pu (0.250, 0.250, 0.750) x4
Rh (0.000, 0.000, 0.500) x4

DFT (PBE) results for an optimized crystal structure of LiGdPuTh.

Calculated values
DOS at the Fermi energy = 14.6 states/eV/f.u.
Total magnetization = 14.9 μB per formula unit
Formation energy from the elements = 280 meV per atom
E = -9.16 eV/atom

Cell: 7.556 7.556 7.556 Å, 90.00 90.00 90.00°
Space group F-43m (No. 216)
Symmetry-distinct sites (fractional):
Li (0.000, 0.000, 0.000) x4
Gd (0.250, 0.250, 0.750) x4
Pu (0.000, 0.000, 0.500) x4
Th (0.250, 0.250, 0.250) x4

DFT (PBE) results for an optimized crystal structure of LiGdYPu.

Calculated values
DOS at the Fermi energy = 14.7 states/eV/f.u.
Total magnetization = 13.9 μB per formula unit
Formation energy from the elements = 295 meV per atom
E = -8.90 eV/atom

Cell: 7.698 7.698 7.698 Å, 90.00 90.00 90.00°
Space group F-43m (No. 216)
Symmetry-distinct sites (fractional):
Li (0.000, 0.000, 0.000) x4
Gd (0.250, 0.250, 0.250) x4
Y (0.250, 0.250, 0.750) x4
Pu (0.000, 0.000, 0.500) x4

DFT (PBE) results for an optimized crystal structure of LiGdScRe.

Calculated values
DOS at the Fermi energy = 3.5 states/eV/f.u.
Total magnetization = 7.0 μB per formula unit
Formation energy from the elements = 48 meV per atom
E = -8.65 eV/atom

Cell: 6.794 6.794 6.794 Å, 90.00 90.00 90.00°
Space group F-43m (No. 216)
Symmetry-distinct sites (fractional):
Li (0.000, 0.000, 0.000) x4
Gd (0.250, 0.250, 0.250) x4
Sc (0.250, 0.250, 0.750) x4
Re (0.000, 0.000, 0.500) x4

DFT (PBE) results for an optimized crystal structure of LiGdTmRe.

Calculated values
DOS at the Fermi energy = 3.3 states/eV/f.u.
Total magnetization = 7.0 μB per formula unit
Formation energy from the elements = 59 meV per atom
E = -8.17 eV/atom

Cell: 6.940 6.940 6.940 Å, 90.00 90.00 90.00°
Space group F-43m (No. 216)
Symmetry-distinct sites (fractional):
Li (0.000, 0.000, 0.000) x4
Gd (0.250, 0.250, 0.750) x4
Tm (0.250, 0.250, 0.250) x4
Re (0.000, 0.000, 0.500) x4

DFT (PBE) results for an optimized crystal structure of LiGdRh4.

Calculated values
DOS at the Fermi energy = 6.8 states/eV/f.u.
Total magnetization = 6.4 μB per formula unit
Formation energy from the elements = -422 meV per atom
E = -7.99 eV/atom

Cell: 7.425 7.425 7.425 Å, 90.00 90.00 90.00°
Space group F-43m (No. 216)
Symmetry-distinct sites (fractional):
Li (0.000, 0.000, 0.000) x4
Gd (0.250, 0.250, 0.750) x4
Rh (0.125, 0.125, 0.375) x16

DFT (PBE) results for an optimized crystal structure of Li2GdRh.

Calculated values
DOS at the Fermi energy = 5.4 states/eV/f.u.
Total magnetization = 7.4 μB per formula unit
Formation energy from the elements = 264 meV per atom
E = -6.05 eV/atom

Cell: 2.9588 2.9588 30.9423 Å, 90.00 90.00 120.00°
Space group R-3m (No. 166, hexagonal axes)
Symmetry-distinct sites (fractional):
Li (0.0000, 0.0000, 0.1024) x6
Gd (0.0000, 0.0000, 0.0000) x3
Rh (0.0000, 0.0000, 0.5000) x3

DFT (PBE) results for an optimized crystal structure of LiGdSbRh.

Calculated values
Total magnetization = 7.0 μB per formula unit
E_form (uncorrected) = -0.828 eV per atom
E = -7.69 eV/atom

Cell: 6.689 6.689 6.689 Å, 90.00 90.00 90.00°
Space group F-43m (No. 216)
Symmetry-distinct sites (fractional):
Li (0.000, 0.000, 0.000) x4
Gd (0.250, 0.250, 0.750) x4
Sb (0.250, 0.250, 0.250) x4
Rh (0.000, 0.000, 0.500) x4

DFT (PBE) results for an optimized crystal structure of LiGdScRh.

Calculated values
DOS at the Fermi energy = 2.6 states/eV/f.u.
Total magnetization = 7.1 μB per formula unit
Formation energy from the elements = -462 meV per atom
E = -7.88 eV/atom

Cell: 6.812 6.812 6.812 Å, 90.00 90.00 90.00°
Space group F-43m (No. 216)
Symmetry-distinct sites (fractional):
Li (0.000, 0.000, 0.000) x4
Gd (0.250, 0.250, 0.250) x4
Sc (0.250, 0.250, 0.750) x4
Rh (0.000, 0.000, 0.500) x4

DFT (PBE) results for an optimized crystal structure of LiGdSiRh.

Calculated values
DOS at the Fermi energy = 4.0 states/eV/f.u.
Total magnetization = 7.6 μB per formula unit
E_form (uncorrected) = -0.582 eV per atom
E = -7.77 eV/atom

Cell: 6.446 6.446 6.446 Å, 90.00 90.00 90.00°
Space group F-43m (No. 216)
Symmetry-distinct sites (fractional):
Li (0.000, 0.000, 0.000) x4
Gd (0.250, 0.250, 0.750) x4
Si (0.250, 0.250, 0.250) x4
Rh (0.000, 0.000, 0.500) x4

DFT (PBE) results for an optimized crystal structure of LiGdSnRh.

Calculated values
DOS at the Fermi energy = 4.2 states/eV/f.u.
Total magnetization = 7.5 μB per formula unit
Formation energy from the elements = -686 meV per atom
E = -7.52 eV/atom

Cell: 6.737 6.737 6.737 Å, 90.00 90.00 90.00°
Space group F-43m (No. 216)
Symmetry-distinct sites (fractional):
Li (0.000, 0.000, 0.000) x4
Gd (0.250, 0.250, 0.750) x4
Sn (0.250, 0.250, 0.250) x4
Rh (0.000, 0.000, 0.500) x4

DFT (PBE) results for an optimized crystal structure of LiGdThRh.

Calculated values
DOS at the Fermi energy = 3.9 states/eV/f.u.
Total magnetization = 7.1 μB per formula unit
Formation energy from the elements = -327 meV per atom
E = -8.02 eV/atom

Cell: 7.135 7.135 7.135 Å, 90.00 90.00 90.00°
Space group F-43m (No. 216)
Symmetry-distinct sites (fractional):
Li (0.000, 0.000, 0.000) x4
Gd (0.250, 0.250, 0.250) x4
Th (0.250, 0.250, 0.750) x4
Rh (0.000, 0.000, 0.500) x4

DFT (PBE) results for an optimized crystal structure of LiGdTlRh.

Calculated values
DOS at the Fermi energy = 4.1 states/eV/f.u.
Total magnetization = 7.7 μB per formula unit
Formation energy from the elements = -398 meV per atom
E = -6.83 eV/atom

Cell: 6.818 6.818 6.818 Å, 90.00 90.00 90.00°
Space group F-43m (No. 216)
Symmetry-distinct sites (fractional):
Li (0.000, 0.000, 0.000) x4
Gd (0.250, 0.250, 0.250) x4
Tl (0.250, 0.250, 0.750) x4
Rh (0.000, 0.000, 0.500) x4

DFT (PBE) results for an optimized crystal structure of LiGdTmRh.

Calculated values
DOS at the Fermi energy = 2.6 states/eV/f.u.
Total magnetization = 7.1 μB per formula unit
Formation energy from the elements = -483 meV per atom
E = -7.44 eV/atom

Cell: 6.960 6.960 6.960 Å, 90.00 90.00 90.00°
Space group F-43m (No. 216)
Symmetry-distinct sites (fractional):
Li (0.000, 0.000, 0.000) x4
Gd (0.250, 0.250, 0.750) x4
Tm (0.250, 0.250, 0.250) x4
Rh (0.000, 0.000, 0.500) x4

DFT (PBE) results for an optimized crystal structure of LiGdYRh.

Calculated values
DOS at the Fermi energy = 2.7 states/eV/f.u.
Total magnetization = 7.1 μB per formula unit
Formation energy from the elements = -452 meV per atom
E = -7.90 eV/atom

Cell: 7.023 7.023 7.023 Å, 90.00 90.00 90.00°
Space group F-43m (No. 216)
Symmetry-distinct sites (fractional):
Li (0.000, 0.000, 0.000) x4
Gd (0.250, 0.250, 0.250) x4
Y (0.250, 0.250, 0.750) x4
Rh (0.000, 0.000, 0.500) x4

DFT (PBE) results for an optimized crystal structure of LiGdZrRh.

Calculated values
DOS at the Fermi energy = 3.3 states/eV/f.u.
Total magnetization = 7.3 μB per formula unit
Formation energy from the elements = -312 meV per atom
E = -8.29 eV/atom

Cell: 6.823 6.823 6.823 Å, 90.00 90.00 90.00°
Space group F-43m (No. 216)
Symmetry-distinct sites (fractional):
Li (0.000, 0.000, 0.000) x4
Gd (0.250, 0.250, 0.750) x4
Zr (0.250, 0.250, 0.250) x4
Rh (0.000, 0.000, 0.500) x4

DFT (PBE) results for an optimized crystal structure of LiGdRu.

Calculated values
DOS at the Fermi energy = 0.9 states/eV/f.u.
Energy above the lowest structure with this stoichiometry = 0.0000 eV per atom
Total magnetization = 7.1 μB per formula unit
Formation energy from the elements = -21 meV per atom
E = -8.44 eV/atom

Cell: 3.481 3.481 9.065 Å, 90.00 90.00 90.00°
Space group I4mm (No. 107)
Symmetry-distinct sites (fractional):
Li (0.000, 0.000, 0.000) x2
Gd (0.000, 0.000, 0.301) x2
Ru (0.000, 0.000, 0.630) x2

DFT (PBE) results for an optimized crystal structure of LiGdRu4.

Calculated values
DOS at the Fermi energy = 6.6 states/eV/f.u.
Total magnetization = 4.5 μB per formula unit
Formation energy from the elements = 65 meV per atom
E = -8.78 eV/atom

Cell: 7.429 7.429 7.429 Å, 90.00 90.00 90.00°
Space group F-43m (No. 216)
Symmetry-distinct sites (fractional):
Li (0.000, 0.000, 0.000) x4
Gd (0.250, 0.250, 0.750) x4
Ru (0.125, 0.125, 0.375) x16

DFT (PBE) results for an optimized crystal structure of LiGdRu.

Calculated values
DOS at the Fermi energy = 1.3 states/eV/f.u.
Energy above the lowest structure with this stoichiometry = 0.0462 eV per atom
Total magnetization = 7.1 μB per formula unit
Formation energy from the elements = 25 meV per atom
E = -8.40 eV/atom

Cell: 4.3494 4.3494 3.4120 Å, 90.00 90.00 120.00°
Space group P3m1 (No. 156)
Symmetry-distinct sites (fractional):
Li (0.0000, 0.0000, 0.0000) x1
Gd (0.6667, 0.3333, 0.5016) x1
Ru (0.3333, 0.6667, 0.0037) x1

DFT (PBE) results for an optimized crystal structure of LiGd3Ru.

Calculated values
DOS at the Fermi energy = 5.4 states/eV/f.u.
Total magnetization = 21.8 μB per formula unit
Formation energy from the elements = -59 meV per atom
E = -10.75 eV/atom

Cell: 5.413 5.413 5.413 Å, 90.00 90.00 90.00°
Space group Pm-3m (No. 221)
Symmetry-distinct sites (fractional):
Li (0.000, 0.000, 0.000) x1
Gd (0.000, 0.500, 0.500) x3
Ru (0.500, 0.500, 0.500) x1

DFT (PBE) results for an optimized crystal structure of LiGdSbRu.

Calculated values
DOS at the Fermi energy = 3.8 states/eV/f.u.
Total magnetization = 7.6 μB per formula unit
E_form (uncorrected) = -0.504 eV per atom
E = -7.85 eV/atom

Cell: 6.685 6.685 6.685 Å, 90.00 90.00 90.00°
Space group F-43m (No. 216)
Symmetry-distinct sites (fractional):
Li (0.000, 0.000, 0.000) x4
Gd (0.250, 0.250, 0.750) x4
Sb (0.250, 0.250, 0.250) x4
Ru (0.000, 0.000, 0.500) x4

DFT (PBE) results for an optimized crystal structure of LiGdScRu.

Calculated values
DOS at the Fermi energy = 2.8 states/eV/f.u.
Total magnetization = 7.3 μB per formula unit
Formation energy from the elements = -274 meV per atom
E = -8.17 eV/atom

Cell: 6.776 6.776 6.776 Å, 90.00 90.00 90.00°
Space group F-43m (No. 216)
Symmetry-distinct sites (fractional):
Li (0.000, 0.000, 0.000) x4
Gd (0.250, 0.250, 0.250) x4
Sc (0.250, 0.250, 0.750) x4
Ru (0.000, 0.000, 0.500) x4

DFT (PBE) results for an optimized crystal structure of LiSmGdRu.

Calculated values
DOS at the Fermi energy = 2.6 states/eV/f.u.
Total magnetization = 7.2 μB per formula unit
Formation energy from the elements = -212 meV per atom
E = -7.71 eV/atom

Cell: 7.046 7.046 7.046 Å, 90.00 90.00 90.00°
Space group F-43m (No. 216)
Symmetry-distinct sites (fractional):
Li (0.000, 0.000, 0.000) x4
Sm (0.250, 0.250, 0.250) x4
Gd (0.250, 0.250, 0.750) x4
Ru (0.000, 0.000, 0.500) x4